No. 1
This record from Alexandria describes an optimized crystal structure of CsKRbTe. The functional is GGA-PBE.

a b c (Å): 6.5620 6.5620 6.5620
angles (deg): 60.00 60.00 60.00
With the nearest neighbours (Å) after each atom.
Positions (direct):
Cs 0.0000 0.0000 0.0000  4 K 4.02, 4 Rb 4.02
K 0.2500 0.2500 0.2500  4 Te 4.02, 4 Cs 4.02
Rb 0.7500 0.7500 0.7500  4 Te 4.02, 4 Cs 4.02
Te 0.5000 0.5000 0.5000  4 Rb 4.02, 4 K 4.02

Calculated values
Density = 3.2 g/cm³
E_form (uncorrected) = -1.90 eV/f.u.


No. 2
This record from Alexandria describes an optimized crystal structure of Ho2IrI3. The functional is GGA-PBE.

a b c (Å): 9.4062 9.4062 12.5897
angles (deg): 122.05 122.05 26.26
With the nearest neighbours (Å) after each atom.
Positions (direct):
Ho 0.0766 0.0766 0.4053  1 Ir 2.57
Ho 0.3712 0.3712 0.1981  2 Ir 2.76
Ho 0.6288 0.6288 0.8019  2 Ir 2.76
Ho 0.9234 0.9234 0.5947  1 Ir 2.57
Ir 0.0773 0.0773 0.6376  3 Ho 2.57-2.76
Ir 0.9227 0.9227 0.3624  3 Ho 2.57-2.76
I 0.1660 0.1660 0.0238  3 Ho 3.16-3.28
I 0.2994 0.2994 0.3971  3 Ho 3.12-3.41, 2 Ir 3.31
I 0.4492 0.4492 0.7896  3 Ho 3.09-3.21
I 0.5508 0.5508 0.2104  3 Ho 3.09-3.21
I 0.7006 0.7006 0.6029  3 Ho 3.12-3.41, 2 Ir 3.31
I 0.8340 0.8340 0.9762  3 Ho 3.16-3.28

Calculated values
Density = 7.3 g/cm³
E_form (uncorrected) = -5.92 eV/f.u.


No. 3
This record from Alexandria describes an optimized crystal structure of KSrCa2Ni. The functional is GGA-PBE.

a b c (Å): 5.7590 5.7590 5.9699
angles (deg): 90.00 90.00 90.00
With the nearest neighbours (Å) after each atom.
Positions (direct):
K 0.0000 0.0000 0.0000  4 Sr 4.07, 8 Ca 4.15
Sr 0.5000 0.5000 0.0000  2 Ni 2.98
Ca 0.0000 0.5000 0.5000  2 Ni 2.88
Ca 0.5000 0.0000 0.5000  2 Ni 2.88
Ni 0.5000 0.5000 0.5000  4 Ca 2.88, 2 Sr 2.98

Calculated values
Density = 2.2 g/cm³
DFT formation energy = 0.029 eV per atom


No. 4
This record from Alexandria describes an optimized crystal structure of LiAcPd. The functional is GGA-PBE.

a b c (Å): 4.4640 4.4640 4.2661
angles (deg): 90.00 90.00 120.00
With the nearest neighbours (Å) after each atom.
Positions (direct):
Li 0.0000 0.0000 0.0000  3 Pd 2.58
Ac 0.6667 0.3333 0.5000  6 Li 3.35, 6 Pd 3.35
Pd 0.3333 0.6667 0.0000  3 Li 2.58

Calculated values
Density = 7.7 g/cm³
DFT formation energy = -0.509 eV per atom